# 1
Entry from Alexandria: KCu2Cl after structural relaxation (PBE-GGA).

## Properties
Relative energy among the computed polymorphs   208 meV/atom
E_tot   -2.86 eV/atom
M_tot   0.000 μB per cell

The structure in POSCAR format:
```
KCu2Cl
1.0
-1.6620 2.2193 6.3642
1.6620 -2.2193 6.3642
1.6620 2.2193 -6.3642
K Cu Cl
1 2 1
Cartesian
0.0000 0.0000 0.0000
1.6620 0.0000 3.3301
0.0000 2.2193 3.0342
0.0000 0.0000 6.3642
```

# 2
Entry from Alexandria: K2CuCl4 after structural relaxation (PBE-GGA).

## Properties
E_tot   -3.28 eV/atom
M_tot   0.872 μB per cell

The structure in POSCAR format:
```
K2CuCl4
1.0
-2.4546 2.4546 7.7336
2.4546 -2.4546 7.7336
2.4546 2.4546 -7.7336
K Cu Cl
2 1 4
Cartesian
0.0000 0.0000 2.1538
0.0000 0.0000 13.3135
0.0000 0.0000 7.7336
2.4546 0.0000 0.0000
0.0000 0.0000 5.3240
0.0000 2.4546 0.0000
0.0000 0.0000 10.1433
```